# CdSiAu2 (PBE-GGA, relaxed)
data_CdSiAu2
_space_group_name_H-M_alt 'P 1'
_space_group_IT_number 1
_cell_length_a 4.900
_cell_length_b 3.053
_cell_length_c 5.056
_cell_angle_alpha 90.00
_cell_angle_beta 90.00
_cell_angle_gamma 90.00
loop_
_space_group_symop_operation_xyz
'x,y,z'
loop_
_atom_site_label
_atom_site_fract_x
_atom_site_fract_y
_atom_site_fract_z
Au1 0.000 0.000 0.952
Au2 0.500 0.000 0.298
Cd1 0.000 0.500 0.459
Si1 0.500 0.000 0.791
# ρ: 11.74 g/cm³
# relative energy among the computed polymorphs: 9.8 meV/atom
# ΔE_f (raw): 0.3 kcal/mol of atoms
# space group: No. 25

---

# Ac4La2Sm (PBE-GGA, relaxed)
data_Ac4La2Sm
_space_group_name_H-M_alt 'P 1'
_space_group_IT_number 1
_cell_length_a 6.179
_cell_length_b 6.179
_cell_length_c 9.936
_cell_angle_alpha 108.11
_cell_angle_beta 108.11
_cell_angle_gamma 90.00
loop_
_space_group_symop_operation_xyz
'x,y,z'
loop_
_atom_site_label
_atom_site_fract_x
_atom_site_fract_y
_atom_site_fract_z
Ac1 0.184 0.184 0.367
Ac2 0.816 0.816 0.633
Ac3 0.000 0.500 0.000
Ac4 0.500 0.000 0.000
La1 0.393 0.393 0.786
La2 0.607 0.607 0.214
Sm1 0.000 0.000 0.000
# ρ: 6.51 g/cm³
# relative energy among the computed polymorphs: 402.7 meV/atom
# space group: No. 139
# DFT formation energy: 603 meV/atom

---

# CaLa2Re (PBE-GGA, relaxed)
data_CaLa2Re
_space_group_name_H-M_alt 'P 1'
_space_group_IT_number 1
_cell_length_a 10.069
_cell_length_b 10.069
_cell_length_c 10.069
_cell_angle_alpha 23.71
_cell_angle_beta 23.71
_cell_angle_gamma 23.71
loop_
_space_group_symop_operation_xyz
'x,y,z'
loop_
_atom_site_label
_atom_site_fract_x
_atom_site_fract_y
_atom_site_fract_z
Re1 0.250 0.250 0.250
Ca1 0.750 0.750 0.750
La1 0.971 0.971 0.971
La2 0.529 0.529 0.529
# ρ: 5.77 g/cm³
# relative energy among the computed polymorphs: 178.0 meV/atom
# space group: No. 166
# DFT formation energy: 373 meV/atom

---

# Cs2Si2Ge (PBE-GGA, relaxed)
data_Cs2Si2Ge
_space_group_name_H-M_alt 'P 1'
_space_group_IT_number 1
_cell_length_a 6.960
_cell_length_b 6.960
_cell_length_c 6.214
_cell_angle_alpha 90.00
_cell_angle_beta 90.00
_cell_angle_gamma 90.00
loop_
_space_group_symop_operation_xyz
'x,y,z'
loop_
_atom_site_label
_atom_site_fract_x
_atom_site_fract_y
_atom_site_fract_z
Cs1 0.194 0.694 0.500
Cs2 0.694 0.806 0.500
Cs3 0.806 0.306 0.500
Cs4 0.306 0.194 0.500
Ge1 0.000 0.000 0.000
Ge2 0.500 0.500 0.000
Si1 0.382 0.882 0.000
Si2 0.882 0.618 0.000
Si3 0.618 0.118 0.000
Si4 0.118 0.382 0.000
# ρ: 4.35 g/cm³
# ΔE_f (raw): 6.5 kcal/mol of atoms
# space group: No. 127

---

# Er3TlHg5 (PBE-GGA, relaxed)
data_Er3TlHg5
_space_group_name_H-M_alt 'P 1'
_space_group_IT_number 1
_cell_length_a 6.361
_cell_length_b 8.938
_cell_length_c 8.938
_cell_angle_alpha 120.00
_cell_angle_beta 90.00
_cell_angle_gamma 90.00
loop_
_space_group_symop_operation_xyz
'x,y,z'
loop_
_atom_site_label
_atom_site_fract_x
_atom_site_fract_y
_atom_site_fract_z
Er1 0.750 0.337 0.337
Er2 0.750 0.000 0.663
Er3 0.750 0.663 0.000
Er4 0.250 0.663 0.663
Er5 0.250 0.000 0.337
Er6 0.250 0.337 0.000
Tl1 0.000 0.000 0.000
Tl2 0.500 0.000 0.000
Hg1 0.000 0.667 0.333
Hg2 0.500 0.333 0.667
Hg3 0.000 0.333 0.667
Hg4 0.500 0.667 0.333
Hg5 0.750 0.666 0.666
Hg6 0.750 0.000 0.334
Hg7 0.750 0.334 0.000
Hg8 0.250 0.334 0.334
Hg9 0.250 0.000 0.666
Hg10 0.250 0.666 0.000
# ρ: 12.90 g/cm³
# space group: No. 193
# DFT formation energy: -358 meV/atom

---

# SrSb2As (PBE-GGA, relaxed)
data_SrSb2As
_space_group_name_H-M_alt 'P 1'
_space_group_IT_number 1
_cell_length_a 3.658
_cell_length_b 3.658
_cell_length_c 8.692
_cell_angle_alpha 90.00
_cell_angle_beta 90.00
_cell_angle_gamma 90.00
loop_
_space_group_symop_operation_xyz
'x,y,z'
loop_
_atom_site_label
_atom_site_fract_x
_atom_site_fract_y
_atom_site_fract_z
Sb1 0.000 0.000 0.933
Sb2 0.500 0.500 0.259
As1 0.500 0.500 0.783
Sr1 0.000 0.000 0.525
# ρ: 5.80 g/cm³
# ΔE_f (raw): -5.6 kcal/mol of atoms
# space group: No. 99

---

Magnetic moment readings, ordered: 0.000; 0.018; 0.001; 0.000; 0.000; 0.000 μB per atom
V readings, ordered: 75.6; 340.7; 145.0; 301.1; 440.1; 116.3 Å³/cell